A geometry-optimized Tb4SmRh2 structure. Source: Alexandria, functional PBE-GGA.

```
14
Lattice="7.872 0.000 0.000 0.000 6.471 0.000 -3.076 0.000 7.267" Properties=species:S:1:pos:R:3 pbc="T T T"
Tb -0.566 1.618 3.518
Tb 0.516 4.853 1.813
Tb -0.747 3.255 6.612
Tb -0.747 6.451 6.612
Tb 5.542 0.020 0.656
Tb 5.542 3.215 0.656
Tb 4.279 1.618 5.454
Tb 5.361 4.853 3.749
Sm 2.676 1.618 2.492
Sm 2.119 4.853 4.775
Rh 0.314 1.618 0.930
Rh 1.530 1.618 5.520
Rh 3.265 4.853 1.747
Rh 4.481 4.853 6.337
```

The space-group type is No. 11. The total energy is -41.1 eV/f.u. The value obtained for the density is 8.9 Mg/m³. As for the magnetic moment: 0.00 μB/f.u.